No. 1
CaPrTl2: relaxed, PBE.

Structure (POSCAR):
```
CaPrTl2
1.0
5.268 0.000 0.000
0.000 5.268 0.000
0.000 0.000 4.311
Ca Pr Tl
1 1 2
direct
0.000 0.000 0.000 Ca
0.500 0.500 0.000 Pr
0.000 0.500 0.500 Tl
0.500 0.000 0.500 Tl
```

Total DFT energy (no corrections)   -3.28 eV per atom
Total magnetic moment   0.000 μB/atom
Calculated formation energy   -0.406 eV/atom



No. 2
Ag6PdPt: relaxed, PBE.

Structure (POSCAR):
```
Ag6PdPt
1.0
7.870 0.000 0.000
0.000 5.601 0.000
-2.314 0.000 7.121
Ag Pd Pt
12 2 2
direct
0.133 0.000 0.419 Ag
0.196 0.244 0.804 Ag
0.196 0.756 0.804 Ag
0.304 0.256 0.196 Ag
0.304 0.744 0.196 Ag
0.367 0.500 0.581 Ag
0.633 0.500 0.419 Ag
0.696 0.256 0.804 Ag
0.696 0.744 0.804 Ag
0.804 0.244 0.196 Ag
0.804 0.756 0.196 Ag
0.867 0.000 0.581 Ag
0.000 0.500 0.500 Pd
0.500 0.000 0.500 Pd
0.000 0.000 0.000 Pt
0.500 0.500 0.000 Pt
```

Total DFT energy (no corrections)   -3.36 eV per atom
Total magnetic moment   0.000 μB/atom
Calculated formation energy   0.181 eV/atom



No. 3
Y4Tm5Th3: relaxed, PBE.

Structure (POSCAR):
```
Y4Tm5Th3
1.0
7.881 -2.978 0.000
7.881 2.978 0.000
-4.182 0.000 8.384
Y Tm Th
4 5 3
direct
0.084 0.084 0.443 Y
0.209 0.209 0.878 Y
0.791 0.791 0.122 Y
0.916 0.916 0.557 Y
0.000 0.000 0.000 Tm
0.329 0.329 0.619 Tm
0.428 0.428 0.302 Tm
0.572 0.572 0.698 Tm
0.671 0.671 0.381 Tm
0.210 0.210 0.239 Th
0.500 0.500 0.000 Th
0.790 0.790 0.761 Th
```

Total DFT energy (no corrections)   -5.57 eV per atom
Total magnetic moment   0.000 μB/atom
Calculated formation energy   0.306 eV/atom



No. 4
Mg4MnCr: relaxed, PBE.

Structure (POSCAR):
```
Mg4MnCr
1.0
0.000 3.978 3.978
3.978 0.000 3.978
3.978 3.978 0.000
Mg Mn Cr
4 1 1
direct
0.125 0.125 0.125 Mg
0.125 0.125 0.625 Mg
0.125 0.625 0.125 Mg
0.625 0.125 0.125 Mg
0.750 0.750 0.750 Mn
0.500 0.500 0.500 Cr
```

Total DFT energy (no corrections)   -3.67 eV per atom
Total magnetic moment   1.399 μB/atom
Calculated formation energy   0.524 eV/atom



No. 5
Ac2PbN: relaxed, PBE.

Structure (POSCAR):
```
Ac2PbN
1.0
7.202 0.000 0.000
0.000 4.837 0.000
0.000 0.000 7.672
Ac Pb N
4 2 2
direct
0.003 0.000 0.231 Ac
0.497 0.000 0.231 Ac
0.503 0.000 0.769 Ac
0.997 0.000 0.769 Ac
0.250 0.500 0.502 Pb
0.750 0.500 0.498 Pb
0.250 0.000 0.992 N
0.750 0.000 0.008 N
```

Total DFT energy (no corrections)   -5.73 eV per atom
Offset from the most stable computed form   0.60 eV/f.u.
Total magnetic moment   0.000 μB/atom
ΔE_f (raw)   -2.66 eV/f.u.



No. 6
Sm2PtCl2: relaxed, PBE.

Structure (POSCAR):
```
Sm2PtCl2
1.0
6.993 0.000 0.000
0.000 4.038 0.000
-2.552 0.000 11.003
Sm Pt Cl
4 2 4
direct
0.223 0.000 0.155 Sm
0.277 0.500 0.845 Sm
0.723 0.500 0.155 Sm
0.777 0.000 0.845 Sm
0.000 0.500 0.000 Pt
0.500 0.000 0.000 Pt
0.052 0.000 0.686 Cl
0.448 0.500 0.314 Cl
0.552 0.500 0.686 Cl
0.948 0.000 0.314 Cl
```

Total DFT energy (no corrections)   -5.50 eV per atom
Total magnetic moment   0.000 μB/atom
ΔE_f (raw)   -8.35 eV/f.u.